No. 1
# Ru2WBr

Crystalline Ru2WBr at its relaxed geometry (GGA-PBEsol, the Alexandria database).

The space group is C2/m, No. 12. The density of states at the Fermi level is 3.03 states/eV/cell. Its energy relative to the elements, uncorrected is 941 meV per atom. The offset from the most stable computed form is 0 meV/atom.

a = 5.1362 Å, b = 5.1362 Å, c = 2.8814 Å
α = 104.39°, β = 104.39°, γ = 116.22°
Last column: nearest neighbours and their distance in Å.
Fractional positions:
Ru1 0.0000 0.5000 0.0000  2 W 2.61, 2 Br 2.61, 6 Ru 2.71-2.88
Ru2 0.5000 0.0000 0.0000  2 W 2.61, 2 Br 2.61, 6 Ru 2.71-2.88
W1 0.0000 0.0000 0.5000  4 Ru 2.61, 4 Br 2.71-2.88, 2 W 2.88
Br1 0.5000 0.5000 0.5000  4 Ru 2.61, 4 W 2.71-2.88, 2 Br 2.88

***

No. 2
# SrCa2P

Crystalline SrCa2P at its relaxed geometry (GGA-PBEsol, the Alexandria database).

The space group is Imm2, No. 44. The density of states at the Fermi level is 2.90 states/eV/cell. The value obtained for the energy relative to the elements is -550 meV/atom.

a = 8.0745 Å, b = 8.0745 Å, c = 8.0745 Å
α = 153.45°, β = 146.47°, γ = 43.27°
Last column: nearest neighbours and their distance in Å.
Fractional positions:
Sr1 0.0000 0.0000 0.0000  2 P 3.13, 2 Ca 3.41
Ca1 0.3202 0.3202 0.0000  2 P 2.94, 2 Ca 3.28
Ca2 0.6664 0.1664 0.5000  4 P 2.98, 2 Ca 3.28
P1 0.1678 0.6678 0.5000  6 Ca 2.94-2.98, 2 Sr 3.13

***

No. 3
# IrOs2Pt

Crystalline IrOs2Pt at its relaxed geometry (GGA-PBEsol, the Alexandria database).

The space group is R3m, No. 160. The density of states at the Fermi level is 3.63 states/eV/cell. The offset from the most stable computed form is 0 meV/atom. The value obtained for the energy relative to the elements is 58 meV/atom.

a = 9.0721 Å, b = 9.0721 Å, c = 9.0721 Å
α = 17.22°, β = 17.22°, γ = 17.22°
Last column: nearest neighbours and their distance in Å.
Fractional positions:
Ir1 0.0000 0.0000 0.0000  3 Os 2.69, 6 Ir 2.72, 3 Pt 2.80
Os1 0.4948 0.4948 0.4948  9 Os 2.65-2.72, 3 Pt 2.77
Os2 0.7484 0.7484 0.7484  9 Os 2.65-2.72, 3 Ir 2.69
Pt1 0.2467 0.2467 0.2467  6 Pt 2.72, 3 Os 2.77, 3 Ir 2.80

***

No. 4
# KCaPb2

Crystalline KCaPb2 at its relaxed geometry (GGA-PBEsol, the Alexandria database).

The space group is P4/mmm, No. 123. The density of states at the Fermi level is 2.21 states/eV/cell. The value obtained for the energy relative to the elements is -330 meV/atom.

a = 3.4893 Å, b = 3.4893 Å, c = 10.1404 Å
α = 90.00°, β = 90.00°, γ = 90.00°
Last column: nearest neighbours and their distance in Å.
Fractional positions:
K1 0.0000 0.0000 0.0000  4 K 3.49, 8 Pb 3.68
Ca1 0.0000 0.0000 0.5000  8 Pb 3.40, 4 Ca 3.49
Pb1 0.5000 0.5000 0.2695  4 Ca 3.40, 4 Pb 3.49, 4 K 3.68
Pb2 0.5000 0.5000 0.7305  4 Ca 3.40, 4 Pb 3.49, 4 K 3.68

***

No. 5
# CaTeAs2

Crystalline CaTeAs2 at its relaxed geometry (GGA-PBEsol, the Alexandria database).

The space group is Imm2, No. 44. The density of states at the Fermi level is 1.99 states/eV/cell. Its energy relative to the elements, uncorrected is -506 meV per atom.

a = 5.7522 Å, b = 5.7522 Å, c = 5.7522 Å
α = 141.60°, β = 127.68°, γ = 66.74°
Last column: nearest neighbours and their distance in Å.
Fractional positions:
Ca1 0.0000 0.0000 0.0000  8 As 3.18-3.33, 4 Te 3.27-3.34
Te1 0.2859 0.7859 0.5000  6 As 3.00-3.24, 4 Ca 3.27-3.34
As1 0.5278 0.5278 0.0000  2 As 2.61
As2 0.7154 0.2154 0.5000  2 As 2.61

***

No. 6
# YSbIr2

Crystalline YSbIr2 at its relaxed geometry (GGA-PBEsol, the Alexandria database).

The space group is Imm2, No. 44. The density of states at the Fermi level is 2.61 states/eV/cell. Its energy relative to the elements, uncorrected is -369 meV per atom.

a = 5.3153 Å, b = 5.3153 Å, c = 5.3153 Å
α = 135.86°, β = 135.76°, γ = 64.28°
Last column: nearest neighbours and their distance in Å.
Fractional positions:
Y1 0.0000 0.0000 0.0000  8 Ir 2.83-3.01, 4 Sb 3.01
Sb1 0.7498 0.2498 0.5000  8 Ir 2.83-3.02, 4 Y 3.01
Ir1 0.2503 0.7503 0.5000  4 Sb 2.83, 4 Ir 3.01, 4 Y 3.01
Ir2 0.5004 0.5004 0.0000  4 Y 2.83, 4 Sb 3.00-3.02, 4 Ir 3.01